1.
VASP calculation (GGA-PBE) on crystalline LaSc2Fe at its relaxed geometry.

Output
Space-group type: R3m (160)
Distance to the lowest polymorph of the same formula in meV/atom: 293
Total magnetic moment in μB/f.u.: 1.78
DFT formation energy in meV per atom: 257

Unit cell a=9.5797 b=9.5797 c=9.5797 alpha=20.57 beta=20.57 gamma=20.57
Closest atoms and distances in Å follow each position.
Element x y z (fractional)
Sc: 0.9964 0.9964 0.9964  9 Sc 3.34-3.42, 3 La 3.51
Sc: 0.2339 0.2339 0.2339  3 Fe 2.66
La: 0.7661 0.7661 0.7661  3 Fe 2.81
Fe: 0.5036 0.5036 0.5036  3 Sc 2.66, 3 La 2.81


2.
VASP calculation (GGA-PBE) on crystalline LiLaNi2 at its relaxed geometry.

Output
Space-group type: Imm2 (44)
Distance to the lowest polymorph of the same formula in meV/atom: 88
Total magnetic moment in μB/f.u.: 0.00
DFT formation energy in meV per atom: -64

Unit cell a=5.0273 b=5.0273 c=5.0273 alpha=135.22 beta=130.21 gamma=69.18
Closest atoms and distances in Å follow each position.
Element x y z (fractional)
La: 0.5055 0.5055 0.0000  8 Ni 2.86-2.89, 4 Li 2.87-2.92
Ni: 0.9878 0.9878 0.0000  2 Ni 2.65, 4 Li 2.83-2.95, 4 La 2.86
Ni: 0.7669 0.2669 0.5000  2 Ni 2.65, 4 Li 2.86, 4 La 2.89
Li: 0.2398 0.7398 0.5000  8 Ni 2.83-2.95, 4 La 2.87-2.92


What is the DFT formation energy in the second record?
-64 meV per atom